--- A ---
## TcMo2Br (GGA-PBE)

Data for crystalline TcMo2Br at its relaxed geometry.

abc: 5.226 5.226 5.226
angles: 137.55 137.55 61.59
Element x y z (fractional)
Tc  0.250  0.750  0.500
Mo  0.500  0.500  0.000
Mo  0.000  0.000  0.000
Br  0.750  0.250  0.500

magnetization	0.00	μB/cell
N(E_F)	3.63	states/eV/cell


--- B ---
## TcMo2Br (GGA-PBE)

Data for crystalline TcMo2Br at its relaxed geometry.

abc: 5.024 5.024 2.985
angles: 80.32 80.32 115.47
Element x y z (fractional)
Br  0.000  0.500  0.500
Tc  0.500  0.000  0.500
Mo  0.500  0.500  0.000
Mo  0.000  0.000  0.000

magnetization	0.00	μB/cell
N(E_F)	3.50	states/eV/cell


--- C ---
## TcMo2Br (GGA-PBE)

Data for crystalline TcMo2Br at its relaxed geometry.

abc: 5.226 5.226 5.226
angles: 137.51 137.51 61.65
Element x y z (fractional)
Mo  0.250  0.750  0.500
Mo  0.000  0.000  0.000
Tc  0.500  0.500  0.000
Br  0.750  0.250  0.500

magnetization	0.00	μB/cell
N(E_F)	5.25	states/eV/cell


--- D ---
## TcMo2Br (GGA-PBE)

Data for crystalline TcMo2Br at its relaxed geometry.

abc: 5.371 5.371 5.371
angles: 147.63 129.77 61.03
Element x y z (fractional)
Tc  0.489  0.489  0.000
Mo  0.738  0.238  0.500
Mo  0.021  0.021  0.000
Br  0.252  0.752  0.500

magnetization	0.00	μB/cell
N(E_F)	3.18	states/eV/cell


Most favorable first, least favorable last: D, B, A, C


--- A ---
## TcMo3Br (GGA-PBE)

Data for crystalline TcMo3Br at its relaxed geometry.

abc: 4.537 4.537 4.537
angles: 90.00 90.00 90.00
Element x y z (fractional)
Mo  0.000  0.000  0.500
Mo  0.500  0.000  0.000
Tc  0.500  0.500  0.500
Mo  0.000  0.500  0.000
Br  0.000  0.000  0.000

magnetization	0.03	μB/cell
N(E_F)	6.68	states/eV/cell


--- B ---
## TcMo3Br (GGA-PBE)

Data for crystalline TcMo3Br at its relaxed geometry.

abc: 4.771 4.771 4.771
angles: 90.00 90.00 90.00
Element x y z (fractional)
Tc  0.000  0.000  0.000
Mo  0.000  0.500  0.000
Mo  0.000  0.000  0.500
Br  0.500  0.500  0.500
Mo  0.500  0.000  0.000

magnetization	0.00	μB/cell
N(E_F)	7.95	states/eV/cell


Most favorable first, least favorable last: B, A


--- A ---
## Te4MoBr (GGA-PBE)

Data for crystalline Te4MoBr at its relaxed geometry.

abc: 6.905 8.359 8.353
angles: 115.25 102.88 100.98
Element x y z (fractional)
Te  0.614  0.145  0.303
Te  0.386  0.855  0.697
Te  0.123  0.321  0.183
Mo  0.782  0.000  0.000
Te  0.538  0.226  0.944
Mo  0.218  0.000  0.000
Te  0.462  0.774  0.056
Te  0.877  0.679  0.817
Br  0.253  0.408  0.583
Te  0.966  0.108  0.784
Br  0.747  0.592  0.417
Te  0.034  0.892  0.216

magnetization	0.00	μB/cell


--- B ---
## Te4MoBr (GGA-PBE)

Data for crystalline Te4MoBr at its relaxed geometry.

abc: 6.300 6.300 6.300
angles: 60.00 60.00 60.00
Element x y z (fractional)
Te  0.375  0.876  0.375
Te  0.375  0.375  0.375
Mo  0.000  0.000  0.000
Br  0.750  0.750  0.750
Te  0.876  0.375  0.375
Te  0.375  0.375  0.876

magnetization	3.38	μB/cell
N(E_F)	3.22	states/eV/cell


--- C ---
## Te4MoBr (GGA-PBE)

Data for crystalline Te4MoBr at its relaxed geometry.

abc: 6.163 8.279 9.215
angles: 116.69 87.76 90.00
Element x y z (fractional)
Te  0.461  0.597  0.797
Mo  0.253  0.514  0.028
Te  0.216  0.688  0.377
Te  0.784  0.312  0.623
Te  0.000  0.763  0.000
Br  0.158  0.202  0.405
Te  0.461  0.200  0.797
Te  0.000  0.237  0.000
Br  0.842  0.798  0.595
Te  0.539  0.403  0.203
Mo  0.747  0.486  0.972
Te  0.539  0.800  0.203

magnetization	0.00	μB/cell
N(E_F)	2.14	states/eV/cell


Most favorable first, least favorable last: A, C, B


--- A ---
## Te3MoBr (GGA-PBE)

Data for crystalline Te3MoBr at its relaxed geometry.

abc: 5.734 7.573 7.579
angles: 120.04 90.00 90.00
Element x y z (fractional)
Te  0.250  0.823  0.646
Br  0.250  0.333  0.667
Br  0.750  0.667  0.333
Te  0.750  0.646  0.823
Mo  0.500  0.000  0.000
Mo  0.000  0.000  0.000
Te  0.750  0.177  0.823
Te  0.750  0.177  0.354
Te  0.250  0.354  0.177
Te  0.250  0.823  0.177

magnetization	0.00	μB/cell
N(E_F)	7.38	states/eV/cell


--- B ---
## Te3MoBr (GGA-PBE)

Data for crystalline Te3MoBr at its relaxed geometry.

abc: 5.294 5.294 5.294
angles: 90.00 90.00 90.00
Element x y z (fractional)
Te  0.000  0.000  0.500
Te  0.000  0.500  0.000
Te  0.500  0.000  0.000
Br  0.500  0.500  0.500
Mo  0.000  0.000  0.000

magnetization	0.00	μB/cell
N(E_F)	4.27	states/eV/cell


--- C ---
## Te3MoBr (GGA-PBE)

Data for crystalline Te3MoBr at its relaxed geometry.

abc: 5.518 5.518 5.518
angles: 90.00 90.00 90.00
Element x y z (fractional)
Te  0.000  0.500  0.000
Te  0.000  0.000  0.500
Te  0.500  0.000  0.000
Br  0.000  0.000  0.000
Mo  0.500  0.500  0.500

magnetization	3.67	μB/cell
N(E_F)	4.96	states/eV/cell


Most favorable first, least favorable last: A, B, C